Entry 1:
{
  "formula": "MgHgB3",
  "functional": "PBE",
  "state": "optimized geometry",
  "delta_e_f_ev_per_atom": 2.126,
  "relative_energy_mev_per_atom": 0,
  "sg": "Pm-3m",
  "cell": [[-4.298, -0.759, 0.748], [-0.551, -1.078, -4.259], [0.912, -4.227, 0.952]],
  "species": ["Mg", "B", "B", "B", "Hg"],
  "fractional_positions": [[0.500, 0.500, 0.500], [0.000, 0.500, 0.000], [0.500, 0.000, 0.000], [0.000, 0.000, 0.500], [0.000, 0.000, 0.000]]
}


Entry 2:
{
  "formula": "Mg3HgB",
  "functional": "PBE",
  "state": "optimized geometry",
  "delta_e_f_ev_per_atom": 1.035,
  "relative_energy_mev_per_atom": 970,
  "sg": "Pm-3m",
  "cell": [[-0.385, 4.743, -1.976], [-3.571, -1.672, -3.318], [-3.695, 1.122, 3.412]],
  "species": ["B", "Mg", "Mg", "Mg", "Hg"],
  "fractional_positions": [[0.500, 0.500, 0.500], [0.000, 0.500, 0.000], [0.000, 0.000, 0.500], [0.500, 0.000, 0.000], [0.000, 0.000, 0.000]]
}


Entry 3:
{
  "formula": "MgHgB3",
  "functional": "PBE",
  "state": "optimized geometry",
  "delta_e_f_ev_per_atom": 2.197,
  "relative_energy_mev_per_atom": 70,
  "sg": "Pm-3m",
  "cell": [[4.434, 0.000, 0.000], [0.000, 4.434, 0.000], [0.000, 0.000, 4.434]],
  "species": ["B", "B", "B", "Hg", "Mg"],
  "fractional_positions": [[0.000, 0.000, 0.500], [0.500, 0.000, 0.000], [0.000, 0.500, 0.000], [0.500, 0.500, 0.500], [0.000, 0.000, 0.000]]
}


Entry 4:
{
  "formula": "Mg3HgB",
  "functional": "PBE",
  "state": "optimized geometry",
  "delta_e_f_ev_per_atom": 0.065,
  "relative_energy_mev_per_atom": 0,
  "sg": "Pm-3m",
  "cell": [[-3.015, 3.111, 1.561], [-3.458, -2.438, -1.818], [-0.402, -2.362, 3.932]],
  "species": ["B", "Mg", "Mg", "Mg", "Hg"],
  "fractional_positions": [[0.000, 0.000, 0.000], [0.000, 0.000, 0.500], [0.500, 0.000, 0.000], [0.000, 0.500, 0.000], [0.500, 0.500, 0.500]]
}


Entry 5:
{
  "formula": "MgHg3B",
  "functional": "PBE",
  "state": "optimized geometry",
  "delta_e_f_ev_per_atom": 0.506,
  "relative_energy_mev_per_atom": 0,
  "sg": "Pm-3m",
  "cell": [[4.762, 0.000, 0.000], [0.000, 4.762, 0.000], [0.000, 0.000, 4.762]],
  "species": ["Hg", "Hg", "Hg", "B", "Mg"],
  "fractional_positions": [[0.000, 0.500, 0.000], [0.000, 0.000, 0.500], [0.500, 0.000, 0.000], [0.000, 0.000, 0.000], [0.500, 0.500, 0.500]]
}


Entry 6:
{
  "formula": "MgHg3B",
  "functional": "PBE",
  "state": "optimized geometry",
  "delta_e_f_ev_per_atom": 1.161,
  "relative_energy_mev_per_atom": 655,
  "sg": "Pm-3m",
  "cell": [[-3.992, -1.828, -3.148], [3.573, -1.075, -3.907], [0.696, -4.969, 2.003]],
  "species": ["Mg", "Hg", "Hg", "Hg", "B"],
  "fractional_positions": [[0.000, 0.000, 0.000], [0.000, 0.500, 0.000], [0.500, 0.000, 0.000], [0.000, 0.000, 0.500], [0.500, 0.500, 0.500]]
}


Entry 7:
{
  "formula": "MgHgB2",
  "functional": "PBE",
  "state": "optimized geometry",
  "delta_e_f_ev_per_atom": 1.281,
  "relative_energy_mev_per_atom": 319,
  "sg": "Fm-3m",
  "cell": [[-3.255, -1.466, -2.371], [-3.133, 2.659, -1.217], [-0.350, 1.160, -4.111]],
  "species": ["Hg", "B", "B", "Mg"],
  "fractional_positions": [[0.500, 0.500, 0.500], [0.250, 0.250, 0.250], [0.750, 0.750, 0.750], [0.000, 0.000, 0.000]]
}


Entry 8:
{
  "formula": "MgHgB2",
  "functional": "PBE",
  "state": "optimized geometry",
  "delta_e_f_ev_per_atom": 0.962,
  "relative_energy_mev_per_atom": 0,
  "sg": "I4_1/amd",
  "cell": [[3.634, 0.000, 0.000], [0.000, 3.634, 0.000], [1.817, 1.817, 9.592]],
  "species": ["B", "B", "B", "B", "Mg", "Mg", "Hg", "Hg"],
  "fractional_positions": [[0.375, 0.125, 0.750], [0.875, 0.625, 0.250], [0.875, 0.125, 0.250], [0.875, 0.125, 0.750], [0.250, 0.750, 0.500], [0.500, 0.500, 0.000], [0.750, 0.250, 0.500], [0.000, 0.000, 0.000]]
}


Entry 9:
{
  "formula": "Mg2HgBMo",
  "functional": "PBE",
  "state": "optimized geometry",
  "delta_e_f_ev_per_atom": 0.966,
  "sg": "P4/mmm",
  "cell": [[-0.574, 2.863, -4.509], [-2.239, -3.002, -1.621], [-4.454, 2.246, 1.993]],
  "species": ["Mg", "Mg", "Hg", "B", "Mo"],
  "fractional_positions": [[0.000, 0.000, 0.500], [0.500, 0.000, 0.000], [0.500, 0.500, 0.500], [0.000, 0.500, 0.000], [0.000, 0.000, 0.000]]
}


Entry 10:
{
  "formula": "MgHg2BN",
  "functional": "PBE",
  "state": "optimized geometry",
  "raw_formation_energy_ev_per_fu": 7.13,
  "sg": "P4/mmm",
  "cell": [[5.482, 0.000, 0.000], [0.000, 3.800, 0.000], [0.000, 0.000, 5.482]],
  "species": ["N", "B", "Hg", "Hg", "Mg"],
  "fractional_positions": [[0.000, 0.500, 0.000], [0.500, 0.500, 0.500], [0.500, 0.000, 0.000], [0.000, 0.000, 0.500], [0.000, 0.000, 0.000]]
}


Entry 11:
{
  "formula": "MgHg2BO4",
  "functional": "PBE",
  "state": "optimized geometry",
  "raw_formation_energy_ev_per_fu": -11.19,
  "sg": "I-4",
  "cell": [[5.035, 0.001, -0.003], [0.000, 5.034, -0.002], [-2.516, -2.516, 4.012]],
  "species": ["O", "O", "O", "O", "Hg", "Hg", "B", "Mg"],
  "fractional_positions": [[0.713, 0.649, 0.695], [0.822, 0.490, 0.249], [0.982, 0.046, 0.695], [0.426, 0.759, 0.249], [0.486, 0.986, 0.972], [0.236, 0.236, 0.472], [0.736, 0.736, 0.472], [0.986, 0.486, 0.972]]
}


Entry 12:
{
  "formula": "MgHg2B2O6",
  "functional": "PBE",
  "state": "optimized geometry",
  "raw_formation_energy_ev_per_fu": -17.69,
  "sg": "C2/m",
  "cell": [[-5.063, -0.708, 1.235], [3.716, -1.259, 3.314], [-1.001, 5.996, -0.668]],
  "species": ["O", "O", "O", "O", "O", "O", "Hg", "Hg", "Mg", "B", "B"],
  "fractional_positions": [[0.731, 0.915, 0.225], [0.769, 0.538, 0.625], [0.816, 0.085, 0.775], [0.184, 0.915, 0.225], [0.269, 0.085, 0.775], [0.231, 0.462, 0.375], [0.299, 0.597, 0.821], [0.701, 0.403, 0.179], [0.500, 0.000, 0.500], [0.053, 0.107, 0.272], [0.947, 0.893, 0.728]]
}


Entry 13:
{
  "formula": "Mg2HgB2O6",
  "functional": "PBE",
  "state": "optimized geometry",
  "raw_formation_energy_ev_per_fu": -23.03,
  "sg": "P-1",
  "cell": [[-3.740, -2.524, 3.405], [1.712, -4.217, 2.548], [-0.584, 4.585, 3.066]],
  "species": ["B", "B", "O", "O", "O", "O", "O", "O", "Mg", "Mg", "Hg"],
  "fractional_positions": [[0.247, 0.698, 0.759], [0.753, 0.302, 0.241], [0.937, 0.105, 0.326], [0.176, 0.475, 0.798], [0.515, 0.319, 0.199], [0.063, 0.895, 0.674], [0.824, 0.525, 0.202], [0.485, 0.681, 0.801], [0.140, 0.630, 0.237], [0.860, 0.370, 0.763], [0.500, 0.000, 0.500]]
}


Entry 14:
{
  "formula": "MgHg2BOs",
  "functional": "PBE",
  "state": "optimized geometry",
  "delta_e_f_ev_per_atom": 1.215,
  "sg": "P4/mmm",
  "cell": [[-2.594, 3.574, -0.590], [-1.461, -1.713, -3.952], [-3.328, -2.065, 2.125]],
  "species": ["Mg", "Hg", "Hg", "B", "Os"],
  "fractional_positions": [[0.000, 0.500, 0.000], [0.000, 0.000, 0.500], [0.500, 0.000, 0.000], [0.000, 0.000, 0.000], [0.500, 0.500, 0.500]]
}


Entry 15:
{
  "formula": "Mg2HgB2Pd5",
  "functional": "PBE",
  "state": "optimized geometry",
  "delta_e_f_ev_per_atom": -0.380,
  "sg": "P4/mbm",
  "cell": [[3.125, 0.000, 0.000], [0.000, 9.712, 0.000], [0.000, 0.000, 9.712]],
  "species": ["Mg", "Mg", "Mg", "Mg", "Pd", "Pd", "Pd", "Pd", "Pd", "Pd", "Pd", "Pd", "Pd", "Pd", "B", "B", "B", "B", "Hg", "Hg"],
  "fractional_positions": [[0.000, 0.824, 0.676], [0.000, 0.176, 0.324], [0.000, 0.324, 0.824], [0.000, 0.676, 0.176], [0.500, 0.727, 0.428], [0.500, 0.572, 0.727], [0.500, 0.072, 0.773], [0.500, 0.500, 0.000], [0.500, 0.000, 0.500], [0.500, 0.928, 0.227], [0.500, 0.227, 0.072], [0.500, 0.273, 0.572], [0.500, 0.428, 0.273], [0.500, 0.773, 0.928], [0.000, 0.377, 0.123], [0.000, 0.623, 0.877], [0.000, 0.877, 0.377], [0.000, 0.123, 0.623], [0.000, 0.500, 0.500], [0.000, 0.000, 0.000]]
}


Entry 16:
{
  "formula": "Mg2HgB2Pt5",
  "functional": "PBE",
  "state": "optimized geometry",
  "delta_e_f_ev_per_atom": -0.428,
  "sg": "P4/mbm",
  "cell": [[3.158, 0.000, 0.000], [0.000, 9.730, 0.000], [0.000, 0.000, 9.730]],
  "species": ["B", "B", "B", "B", "Pt", "Pt", "Pt", "Pt", "Pt", "Pt", "Pt", "Pt", "Pt", "Pt", "Hg", "Hg", "Mg", "Mg", "Mg", "Mg"],
  "fractional_positions": [[0.000, 0.376, 0.124], [0.000, 0.624, 0.876], [0.000, 0.876, 0.376], [0.000, 0.124, 0.624], [0.500, 0.572, 0.726], [0.500, 0.726, 0.428], [0.500, 0.774, 0.928], [0.500, 0.226, 0.072], [0.500, 0.072, 0.774], [0.500, 0.428, 0.274], [0.500, 0.274, 0.572], [0.500, 0.928, 0.226], [0.500, 0.500, 0.000], [0.500, 0.000, 0.500], [0.000, 0.500, 0.500], [0.000, 0.000, 0.000], [0.000, 0.823, 0.677], [0.000, 0.323, 0.823], [0.000, 0.677, 0.177], [0.000, 0.177, 0.323]]
}


Entry 17:
{
  "formula": "Mg2HgB2Rh5",
  "functional": "PBE",
  "state": "optimized geometry",
  "delta_e_f_ev_per_atom": -0.458,
  "sg": "P4/mbm",
  "cell": [[2.956, 0.000, 0.000], [0.000, 9.743, 0.000], [0.000, 0.000, 9.743]],
  "species": ["Rh", "Rh", "Rh", "Rh", "Rh", "Rh", "Rh", "Rh", "Rh", "Rh", "B", "B", "B", "B", "Mg", "Mg", "Mg", "Mg", "Hg", "Hg"],
  "fractional_positions": [[0.500, 0.228, 0.071], [0.500, 0.000, 0.500], [0.500, 0.429, 0.272], [0.500, 0.929, 0.228], [0.500, 0.272, 0.571], [0.500, 0.071, 0.772], [0.500, 0.728, 0.429], [0.500, 0.772, 0.929], [0.500, 0.571, 0.728], [0.500, 0.500, 0.000], [0.000, 0.877, 0.377], [0.000, 0.377, 0.123], [0.000, 0.623, 0.877], [0.000, 0.123, 0.623], [0.000, 0.177, 0.323], [0.000, 0.323, 0.823], [0.000, 0.677, 0.177], [0.000, 0.823, 0.677], [0.000, 0.000, 0.000], [0.000, 0.500, 0.500]]
}


Entry 18:
{
  "formula": "YMgHg2B",
  "functional": "PBE",
  "state": "optimized geometry",
  "delta_e_f_ev_per_atom": 0.174,
  "sg": "P4/mmm",
  "cell": [[4.655, 0.000, 0.000], [0.000, 4.961, 0.000], [0.000, 0.000, 4.655]],
  "species": ["Y", "Hg", "Hg", "Mg", "B"],
  "fractional_positions": [[0.000, 0.500, 0.000], [0.000, 0.000, 0.500], [0.500, 0.000, 0.000], [0.500, 0.500, 0.500], [0.000, 0.000, 0.000]]
}


Entry 19:
{
  "formula": "MnHg3B",
  "functional": "PBE",
  "state": "optimized geometry",
  "delta_e_f_ev_per_atom": 0.827,
  "relative_energy_mev_per_atom": 0,
  "sg": "Pm-3m",
  "cell": [[-0.307, -0.363, 4.663], [1.381, -4.472, -0.257], [4.469, 1.357, 0.400]],
  "species": ["Hg", "Hg", "Hg", "Mn", "B"],
  "fractional_positions": [[0.000, 0.500, 0.000], [0.000, 0.000, 0.500], [0.500, 0.000, 0.000], [0.500, 0.500, 0.500], [0.000, 0.000, 0.000]]
}


Entry 20:
{
  "formula": "MnHgB3",
  "functional": "PBE",
  "state": "optimized geometry",
  "delta_e_f_ev_per_atom": 1.111,
  "relative_energy_mev_per_atom": 0,
  "sg": "Pm-3m",
  "cell": [[3.919, 0.000, 0.000], [0.000, 3.919, 0.000], [0.000, 0.000, 3.919]],
  "species": ["B", "B", "B", "Hg", "Mn"],
  "fractional_positions": [[0.000, 0.000, 0.500], [0.500, 0.000, 0.000], [0.000, 0.500, 0.000], [0.500, 0.500, 0.500], [0.000, 0.000, 0.000]]
}


The records above give, respectively, magnetization values of 0.0, 0.0, 0.0, 0.0, 0.0, 0.6, 0.0, 0.0, 1.2, 0.0, 0.0, 0.0, 0.0, 2.5, 0.0, 0.0, 0.0, 0.0, 4.4, 0.0 μB per formula unit.